[1]
## MnAl2Cu (PBEsol)

Data for a relaxed structure of MnAl2Cu.

Calculated values
Uncorrected energy: -5.692 eV per atom
Magnetic moment: 2.20 μB/f.u.
SG: Fm-3m
Density of states at the Fermi level: 13.38 states/eV/cell

Lattice parameters (Å, degrees): 5.8850 5.8850 5.8850 90.00 90.00 90.00
Atoms (fractional coordinates):
Mn1 0.0000 0.0000 0.0000
Mn2 0.0000 0.5000 0.5000
Mn3 0.5000 0.0000 0.5000
Mn4 0.5000 0.5000 0.0000
Al1 0.2500 0.2500 0.2500
Al2 0.2500 0.2500 0.7500
Al3 0.2500 0.7500 0.2500
Al4 0.2500 0.7500 0.7500
Al5 0.7500 0.2500 0.2500
Al6 0.7500 0.2500 0.7500
Al7 0.7500 0.7500 0.2500
Al8 0.7500 0.7500 0.7500
Cu1 0.0000 0.0000 0.5000
Cu2 0.0000 0.5000 0.0000
Cu3 0.5000 0.0000 0.0000
Cu4 0.5000 0.5000 0.5000

***

[2]
## MnAl2Cu (PBEsol)

Data for a relaxed structure of MnAl2Cu.

Calculated values
Uncorrected energy: -5.788 eV per atom
Magnetic moment: 2.04 μB/f.u.
SG: P4/mmm
Density of states at the Fermi level: 1.61 states/eV/cell

Lattice parameters (Å, degrees): 2.8032 2.8032 6.4635 90.00 90.00 90.00
Atoms (fractional coordinates):
Mn1 0.0000 0.0000 0.0000
Al1 0.5000 0.5000 0.2482
Al2 0.5000 0.5000 0.7518
Cu1 0.0000 0.0000 0.5000

***

[3]
## MnAl2Cu (PBEsol)

Data for a relaxed structure of MnAl2Cu.

Calculated values
Uncorrected energy: -5.793 eV per atom
Magnetic moment: 2.11 μB/f.u.
SG: P4/mmm
Density of states at the Fermi level: 2.01 states/eV/cell

Lattice parameters (Å, degrees): 3.8842 3.8842 3.3725 90.00 90.00 90.00
Atoms (fractional coordinates):
Mn1 0.0000 0.0000 0.0000
Al1 0.0000 0.5000 0.5000
Al2 0.5000 0.0000 0.5000
Cu1 0.5000 0.5000 0.0000

***

[4]
## MnAl2Cu (PBEsol)

Data for a relaxed structure of MnAl2Cu.

Calculated values
Uncorrected energy: -5.784 eV per atom
Magnetic moment: 1.49 μB/f.u.
SG: Cmmm
Density of states at the Fermi level: 3.79 states/eV/cell

Lattice parameters (Å, degrees): 5.5448 6.5519 2.7672 90.00 90.00 90.00
Atoms (fractional coordinates):
Mn1 0.0000 0.0000 0.0000
Mn2 0.5000 0.5000 0.0000
Al1 0.2500 0.2500 0.5000
Al2 0.2500 0.7500 0.5000
Al3 0.7500 0.2500 0.5000
Al4 0.7500 0.7500 0.5000
Cu1 0.0000 0.5000 0.0000
Cu2 0.5000 0.0000 0.0000

***

[5]
## Mn2AlCu (PBEsol)

Data for a relaxed structure of Mn2AlCu.

Calculated values
Uncorrected energy: -6.792 eV per atom
Magnetic moment: 3.64 μB/f.u.
SG: R-3m
Density of states at the Fermi level: 14.68 states/eV/cell

Lattice parameters (Å, degrees): 2.5738 2.5738 24.9855 90.00 90.00 120.00
Atoms (fractional coordinates):
Mn1 0.0000 0.0000 0.2501
Mn2 0.0000 0.0000 0.7499
Mn3 0.3333 0.6667 0.4166
Mn4 0.3333 0.6667 0.9167
Mn5 0.6667 0.3333 0.0833
Mn6 0.6667 0.3333 0.5834
Al1 0.0000 0.0000 0.0000
Al2 0.3333 0.6667 0.6667
Al3 0.6667 0.3333 0.3333
Cu1 0.0000 0.0000 0.5000
Cu2 0.3333 0.6667 0.1667
Cu3 0.6667 0.3333 0.8333

***

[6]
## MnAlCuMo2 (PBEsol)

Data for a relaxed structure of MnAlCuMo2.

Calculated values
Uncorrected energy: -6.978 eV per atom
Magnetic moment: 1.95 μB/f.u.
SG: P4/mmm
Density of states at the Fermi level: 5.33 states/eV/cell

Lattice parameters (Å, degrees): 4.4750 4.4750 4.2918 90.00 90.00 90.00
Atoms (fractional coordinates):
Mn1 0.0000 0.0000 0.0000
Al1 0.5000 0.5000 0.0000
Cu1 0.0000 0.0000 0.5000
Mo1 0.0000 0.5000 0.5000
Mo2 0.5000 0.0000 0.5000

***

[7]
## Al2CuMo (PBEsol)

Data for a relaxed structure of Al2CuMo.

Calculated values
Uncorrected energy: -6.231 eV per atom
Magnetic moment: 0.00 μB/f.u.
Energy above the most stable polymorph in this dataset: 59 meV/atom
SG: I-4m2
Density of states at the Fermi level: 4.83 states/eV/cell

Lattice parameters (Å, degrees): 3.6071 3.6071 8.5674 90.00 90.00 90.00
Atoms (fractional coordinates):
Al1 0.0000 0.0000 0.0000
Al2 0.0000 0.5000 0.2500
Al3 0.5000 0.0000 0.7500
Al4 0.5000 0.5000 0.5000
Cu1 0.0000 0.0000 0.5000
Cu2 0.5000 0.5000 0.0000
Mo1 0.0000 0.5000 0.7500
Mo2 0.5000 0.0000 0.2500

***

[8]
## AlCu3Mo (PBEsol)

Data for a relaxed structure of AlCu3Mo.

Calculated values
Uncorrected energy: -4.158 eV per atom
Magnetic moment: 0.00 μB/f.u.
Energy above the most stable polymorph in this dataset: 477 meV/atom
SG: Pm-3m
Density of states at the Fermi level: 6.68 states/eV/cell

Lattice parameters (Å, degrees): 4.5931 4.5931 4.5931 90.00 90.00 90.00
Atoms (fractional coordinates):
Al1 0.0000 0.0000 0.0000
Cu1 0.0000 0.5000 0.5000
Cu2 0.5000 0.0000 0.5000
Cu3 0.5000 0.5000 0.0000
Mo1 0.5000 0.5000 0.5000

***

[9]
## AlCu3Mo (PBEsol)

Data for a relaxed structure of AlCu3Mo.

Calculated values
Uncorrected energy: -4.635 eV per atom
Magnetic moment: 0.00 μB/f.u.
Energy above the most stable polymorph in this dataset: 0 meV/atom
SG: Pm-3m
Density of states at the Fermi level: 2.09 states/eV/cell

Lattice parameters (Å, degrees): 4.2087 4.2087 4.2087 90.00 90.00 90.00
Atoms (fractional coordinates):
Al1 0.0000 0.0000 0.0000
Cu1 0.0000 0.0000 0.5000
Cu2 0.0000 0.5000 0.0000
Cu3 0.5000 0.0000 0.0000
Mo1 0.5000 0.5000 0.5000

***

[10]
## Al2CuMo (PBEsol)

Data for a relaxed structure of Al2CuMo.

Calculated values
Uncorrected energy: -6.097 eV per atom
Magnetic moment: 0.00 μB/f.u.
Energy above the most stable polymorph in this dataset: 193 meV/atom
SG: Pmm2
Density of states at the Fermi level: 2.54 states/eV/cell

Lattice parameters (Å, degrees): 2.7809 3.7679 5.3798 90.00 90.00 90.00
Atoms (fractional coordinates):
Al1 0.0000 0.0000 0.0000
Al2 0.5000 0.5000 0.2774
Cu1 0.0000 0.0000 0.4917
Mo1 0.5000 0.5000 0.7691

***

[11]
## Al2CuMo (PBEsol)

Data for a relaxed structure of Al2CuMo.

Calculated values
Uncorrected energy: -6.053 eV per atom
Magnetic moment: 0.00 μB/f.u.
Energy above the most stable polymorph in this dataset: 237 meV/atom
SG: P4mm
Density of states at the Fermi level: 2.36 states/eV/cell

Lattice parameters (Å, degrees): 2.6836 2.6836 7.9413 90.00 90.00 90.00
Atoms (fractional coordinates):
Al1 0.0000 0.0000 0.0000
Al2 0.5000 0.5000 0.2782
Cu1 0.5000 0.5000 0.7790
Mo1 0.0000 0.0000 0.5333

***

[12]
## AlCuMo2 (PBEsol)

Data for a relaxed structure of AlCuMo2.

Calculated values
Uncorrected energy: -7.926 eV per atom
Magnetic moment: 0.00 μB/f.u.
SG: I-4m2
Density of states at the Fermi level: 5.34 states/eV/cell

Lattice parameters (Å, degrees): 3.8311 3.8311 7.7224 90.00 90.00 90.00
Atoms (fractional coordinates):
Al1 0.0000 0.0000 0.0000
Al2 0.5000 0.5000 0.5000
Cu1 0.0000 0.5000 0.2500
Cu2 0.5000 0.0000 0.7500
Mo1 0.0000 0.0000 0.5000
Mo2 0.0000 0.5000 0.7500
Mo3 0.5000 0.0000 0.2500
Mo4 0.5000 0.5000 0.0000

***

For the records above, the corresponding formation enthalpy at 0 K values read -0.49 -0.87 -0.89 -0.86 0.78 6.83 -0.64 8.07 5.69 -0.10 0.07 0.26 eV per formula unit.